# TlSb2Os

Crystalline TlSb2Os at its relaxed geometry (PBE, the Alexandria database).

Computed properties:
N(E_F)	2.63	states/eV per cell
final energy	-21.0	eV per cell
relative energy among the computed polymorphs	0.000	eV/atom
theoretical density	10.54	g/cm3
ΔE_f (raw)	0.21	eV/atom
crystal system	tetragonal
magnetization	0.000	μB/cell

a = 3.195 Å, b = 3.195 Å, c = 9.849 Å
α = 90.00°, β = 90.00°, γ = 90.00°
Element x y z (fractional)
1 Os 0.500 0.500 0.750
2 Sb 0.000 0.000 0.924
3 Sb 0.000 0.000 0.576
4 Tl 0.500 0.500 0.250



# LiAgCl2

Crystalline LiAgCl2 at its relaxed geometry (PBE, the Alexandria database).

Computed properties:
final energy	-12.4	eV per cell
theoretical density	3.11	g/cm3
ΔE_f (raw)	-0.99	eV/atom
crystal system	tetragonal
magnetization	0.000	μB/cell

a = 7.813 Å, b = 7.813 Å, c = 7.813 Å
α = 152.85°, β = 152.85°, γ = 38.78°
Element x y z (fractional)
1 Ag 0.750 0.250 0.500
2 Cl 0.000 0.000 0.000
3 Cl 0.250 0.750 0.500
4 Li 0.500 0.500 0.000



Q: Among the records above, which one has the lowest ΔE_f (raw)?
A: LiAgCl2